Record 1
## AlSeCl2 (meta-GGA SCAN)

Data for AlSeCl2 at its PBEsol-relaxed geometry.

```
AlSeCl2
1.0
3.761 0.000 0.000
0.000 3.761 0.000
0.000 0.000 7.328
Al Se Cl
1 1 2
Direct
0.000 0.000 0.000
0.500 0.500 0.039
0.000 0.000 0.709
0.500 0.500 0.341
```

Values from the calculation:
energy relative to the elements, uncorrected: -0.56 eV/atom
energy above the lowest structure with this stoichiometry: 0.57 eV/f.u.
DFT total energy: -11.504 eV per atom
crystal system: tetragonal
size of the total moment: 0.0002 μB/atom

Record 2
## YMgSe2Br (meta-GGA SCAN)

Data for YMgSe2Br at its PBEsol-relaxed geometry.

```
YMgSe2Br
1.0
5.425 0.000 0.000
0.000 5.425 0.000
0.000 0.000 5.306
Y Mg Se Br
1 1 2 1
Direct
0.000 0.000 0.000
0.500 0.500 0.500
0.000 0.500 0.000
0.500 0.000 0.000
0.000 0.000 0.500
```

Values from the calculation:
energy relative to the elements, uncorrected: -0.99 eV/atom
DFT total energy: -19.477 eV per atom
crystal system: tetragonal
size of the total moment: 0.0000 μB/atom

Record 3
## TcHgH2Br (meta-GGA SCAN)

Data for TcHgH2Br at its PBEsol-relaxed geometry.

```
TcHgH2Br
1.0
3.740 0.000 0.000
0.000 3.740 0.000
0.000 0.000 7.118
Tc Hg H Br
1 1 2 1
Direct
0.000 0.000 0.000
0.500 0.500 0.000
0.000 0.500 0.500
0.500 0.000 0.500
0.500 0.500 0.500
```

Values from the calculation:
DFT total energy: -24.772 eV per atom
crystal system: tetragonal
size of the total moment: 0.6639 μB/atom

Record 4
## Li2Ti3MnO8 (meta-GGA SCAN)

Data for Li2Ti3MnO8 at its PBEsol-relaxed geometry.

```
Li2Ti3MnO8
1.0
8.376 0.000 0.000
0.000 8.376 0.000
0.000 0.000 8.376
Li Ti Mn O
8 12 4 32
Direct
0.126 0.126 0.126
0.248 0.252 0.748
0.252 0.748 0.248
0.374 0.874 0.626
0.626 0.374 0.874
0.748 0.248 0.252
0.752 0.752 0.752
0.874 0.626 0.374
0.116 0.379 0.371
0.121 0.629 0.616
0.129 0.884 0.879
0.371 0.116 0.379
0.379 0.371 0.116
0.384 0.621 0.871
0.616 0.121 0.629
0.621 0.871 0.384
0.629 0.616 0.121
0.871 0.384 0.621
0.879 0.129 0.884
0.884 0.879 0.129
0.001 0.501 0.999
0.499 0.499 0.499
0.501 0.999 0.001
0.999 0.001 0.501
0.106 0.873 0.109
0.109 0.106 0.873
0.111 0.389 0.611
0.123 0.857 0.641
0.127 0.609 0.394
0.137 0.637 0.863
0.141 0.377 0.143
0.143 0.141 0.377
0.357 0.859 0.877
0.359 0.623 0.643
0.363 0.363 0.363
0.373 0.391 0.894
0.377 0.143 0.141
0.389 0.611 0.111
0.391 0.894 0.373
0.394 0.127 0.609
0.606 0.627 0.891
0.609 0.394 0.127
0.611 0.111 0.389
0.623 0.643 0.359
0.627 0.891 0.606
0.637 0.863 0.137
0.641 0.123 0.857
0.643 0.359 0.623
0.857 0.641 0.123
0.859 0.877 0.357
0.863 0.137 0.637
0.873 0.109 0.106
0.877 0.357 0.859
0.889 0.889 0.889
0.891 0.606 0.627
0.894 0.373 0.391
```

Values from the calculation:
energy relative to the elements, uncorrected: -2.98 eV/atom
energy above the lowest structure with this stoichiometry: 0.00 eV/f.u.
DFT total energy: -11.618 eV per atom
crystal system: cubic
size of the total moment: 0.3571 μB/atom

Record 5
## V7S8 (meta-GGA SCAN)

Data for V7S8 at its PBEsol-relaxed geometry.

```
V7S8
1.0
6.239 0.000 0.000
-3.120 5.403 0.000
0.000 0.000 5.994
V S
7 8
Direct
0.000 0.000 0.000
0.000 0.500 0.000
0.000 0.500 0.500
0.500 0.000 0.000
0.500 0.000 0.500
0.500 0.500 0.000
0.500 0.500 0.500
0.164 0.327 0.746
0.164 0.836 0.746
0.327 0.164 0.254
0.333 0.667 0.250
0.667 0.333 0.750
0.673 0.836 0.746
0.836 0.164 0.254
0.836 0.673 0.254
```

Values from the calculation:
energy relative to the elements, uncorrected: -1.03 eV/atom
energy above the lowest structure with this stoichiometry: 0.68 eV/f.u.
DFT total energy: -14.329 eV per atom
crystal system: trigonal
size of the total moment: 0.1845 μB/atom

Record 6
## K2CePCO7 (meta-GGA SCAN)

Data for K2CePCO7 at its PBEsol-relaxed geometry.

```
K2CePCO7
1.0
5.524 0.000 0.000
0.000 7.288 0.000
-0.204 0.000 10.070
K Ce P C O
4 2 2 2 14
Direct
0.242 0.018 0.291
0.242 0.482 0.291
0.758 0.518 0.709
0.758 0.982 0.709
0.296 0.250 0.892
0.704 0.750 0.108
0.206 0.750 0.929
0.794 0.250 0.071
0.250 0.250 0.608
0.750 0.750 0.392
0.067 0.250 0.691
0.074 0.250 0.093
0.218 0.250 0.484
0.259 0.750 0.082
0.319 0.575 0.868
0.319 0.925 0.868
0.463 0.250 0.667
0.537 0.750 0.333
0.681 0.075 0.132
0.681 0.425 0.132
0.741 0.250 0.918
0.782 0.750 0.516
0.926 0.750 0.907
0.933 0.750 0.309
```

Values from the calculation:
energy relative to the elements, uncorrected: -2.56 eV/atom
DFT total energy: -13.002 eV per atom
crystal system: monoclinic
size of the total moment: 0.0833 μB/atom